Here is a relaxed La4AgSCl2 crystal from Alexandria via LeMat-Bulk. Energies are from PBE.

Cell: 7.270 4.274 7.418 Å, 90.00 109.95 90.00°
Positions (direct):
La 0.241 0.000 0.230
La 0.254 0.500 0.767
La 0.746 0.500 0.233
La 0.759 0.000 0.770
Ag 0.000 0.000 0.500
S 0.000 0.500 0.000
Cl 0.500 0.000 0.000
Cl 0.500 0.500 0.500

Summary:
Its symmetry is P2/m. The density of states at the Fermi level comes out at 0.756 states/eV per atom. The uncorrected formation energy is -1351.2 meV per atom.



Here is a relaxed AcNd2Hg crystal from Alexandria via LeMat-Bulk. Energies are from PBE.

Cell: 5.726 5.726 5.726 Å, 60.00 60.00 60.00°
Positions (direct):
Ac 0.000 0.000 0.000
Nd 0.250 0.250 0.250
Nd 0.499 0.499 0.499
Hg 0.750 0.750 0.750

Summary:
Its symmetry is R3m. The density of states at the Fermi level comes out at 1.491 states/eV per atom. The calculation puts the energy relative to the lowest polymorph listed for this composition at 18.67 kJ per mole of atoms. The value obtained for the energy of formation from the pure elements is -3.21 kJ/mol of atoms.



Here is a relaxed CaHf2Cu2 crystal from Alexandria via LeMat-Bulk. Energies are from PBE.

Cell: 6.730 6.730 6.730 Å, 143.49 143.49 52.58°
Positions (direct):
Ca 0.000 0.000 0.000
Hf 0.250 0.750 0.500
Hf 0.750 0.250 0.500
Cu 0.398 0.398 0.000
Cu 0.602 0.602 0.000

Summary:
Its symmetry is I4/mmm. The density of states at the Fermi level comes out at 0.902 states/eV per atom. The calculation puts the energy relative to the lowest polymorph listed for this composition at 0.32 kJ per mole of atoms. The value obtained for the energy of formation from the pure elements is 11.60 kJ/mol of atoms.



Here is a relaxed HfCrPPt2 crystal from Alexandria via LeMat-Bulk. Energies are from PBE.

Cell: 4.683 4.683 4.196 Å, 90.00 90.00 90.00°
Positions (direct):
Hf 0.000 0.000 0.000
Cr 0.500 0.500 0.500
P 0.500 0.500 0.000
Pt 0.000 0.500 0.500
Pt 0.500 0.000 0.500

Summary:
Its symmetry is P4/mmm. The density of states at the Fermi level comes out at 1.004 states/eV per atom. The calculation puts the energy relative to the lowest polymorph listed for this composition at 0.00 kJ per mole of atoms. The value obtained for the energy of formation from the pure elements is 24.38 kJ/mol of atoms.



Here is a relaxed Ti6Ga2N crystal from Alexandria via LeMat-Bulk. Energies are from PBE.

Cell: 3.182 6.930 6.930 Å, 119.99 90.00 90.00°
Positions (direct):
Ti 0.000 0.000 0.000
Ti 0.000 0.534 0.767
Ti 0.000 0.767 0.534
Ti 0.500 0.156 0.767
Ti 0.500 0.377 0.377
Ti 0.500 0.767 0.156
Ga 0.000 0.100 0.434
Ga 0.000 0.434 0.100
N 0.500 0.767 0.767

Summary:
Its symmetry is Amm2. The density of states at the Fermi level comes out at 0.671 states/eV per atom. The calculation puts the energy relative to the lowest polymorph listed for this composition at 13.45 kJ per mole of atoms. The uncorrected formation energy is -535.9 meV per atom.



Here is a relaxed Hf2AlH2 crystal from Alexandria via LeMat-Bulk. Energies are from PBE.

Cell: 4.987 4.987 4.987 Å, 129.94 129.94 73.50°
Positions (direct):
Hf 0.250 0.750 0.500
Hf 0.750 0.250 0.500
Al 0.000 0.000 0.000
H 0.323 0.323 0.000
H 0.677 0.677 0.000

Summary:
Its symmetry is I4/mmm. The density of states at the Fermi level comes out at 0.540 states/eV per atom. The calculation puts the energy relative to the lowest polymorph listed for this composition at 33.51 kJ per mole of atoms.



Here is a relaxed K2Hg16Au crystal from Alexandria via LeMat-Bulk. Energies are from PBE.

Cell: 8.328 8.328 8.328 Å, 78.86 78.86 78.86°
Positions (direct):
K 0.000 0.000 0.000
K 0.310 0.310 0.310
Hg 0.002 0.002 0.566
Hg 0.002 0.566 0.002
Hg 0.256 0.606 0.606
Hg 0.285 0.285 0.889
Hg 0.285 0.889 0.285
Hg 0.360 0.672 0.974
Hg 0.360 0.974 0.672
Hg 0.566 0.002 0.002
Hg 0.606 0.256 0.606
Hg 0.606 0.606 0.256
Hg 0.633 0.633 0.633
Hg 0.672 0.360 0.974
Hg 0.672 0.974 0.360
Hg 0.889 0.285 0.285
Hg 0.974 0.360 0.672
Hg 0.974 0.672 0.360
Au 0.802 0.802 0.802

Summary:
Its symmetry is R3m. The density of states at the Fermi level comes out at 0.247 states/eV per atom. The value obtained for the energy of formation from the pure elements is -9.83 kJ/mol of atoms.



Here is a relaxed Ac12LaPb7 crystal from Alexandria via LeMat-Bulk. Energies are from PBE.

Cell: 10.331 10.331 10.331 Å, 110.76 110.76 110.76°
Positions (direct):
Ac 0.000 0.271 0.729
Ac 0.000 0.729 0.271
Ac 0.166 0.489 0.489
Ac 0.271 0.000 0.729
Ac 0.271 0.729 0.000
Ac 0.489 0.166 0.489
Ac 0.489 0.489 0.166
Ac 0.511 0.511 0.834
Ac 0.511 0.834 0.511
Ac 0.729 0.000 0.271
Ac 0.729 0.271 0.000
Ac 0.834 0.511 0.511
La 0.000 0.000 0.000
Pb 0.135 0.135 0.445
Pb 0.135 0.445 0.135
Pb 0.445 0.135 0.135
Pb 0.500 0.500 0.500
Pb 0.555 0.865 0.865
Pb 0.865 0.555 0.865
Pb 0.865 0.865 0.555

Summary:
Its symmetry is R-3m. The density of states at the Fermi level comes out at 1.089 states/eV per atom. The value obtained for the energy of formation from the pure elements is -27.68 kJ/mol of atoms.